## K2MnRu (GGA-PBE)

Data for a relaxed structure of K2MnRu.

**Energy above the most stable polymorph in this dataset**: 612.5 meV per atom
**E_form**: 1267 meV/atom
**DOS(E_F)**: 3.295 states/eV per cell

a = 2.9380 Å, b = 2.9380 Å, c = 11.7932 Å
α = 90.00°, β = 90.00°, γ = 115.08°
Last column: nearest neighbours and their distance in Å.
Element x y z (fractional)
K1 0.0000 0.0000 0.9826  6 K 2.94-3.15, 2 Ru 3.16
Mn1 0.5000 0.5000 0.2500  6 Mn 2.94-3.15
K2 0.0000 0.0000 0.5174  6 K 2.94-3.15, 2 Ru 3.16
Ru1 0.5000 0.5000 0.7500  6 Ru 2.94-3.15, 4 K 3.16